First-principles (PBE with a Hubbard U) data for a relaxed NiIr3O crystal, as listed in Alexandria via LeMat-Bulk.

Summary:
DOS(E_F): 5.6 states/eV/cell
E: -4.387 eV/atom

abc: 4.468 4.468 4.468
angles: 90.00 90.00 90.00
Atoms (fractional coordinates):
O 0.500 0.500 0.500
Ir 0.000 0.000 0.500
Ir 0.500 0.000 0.000
Ir 0.000 0.500 0.000
Ni 0.000 0.000 0.000

=====

First-principles (PBE with a Hubbard U) data for a relaxed Ni2IrO crystal, as listed in Alexandria via LeMat-Bulk.

Summary:
DOS(E_F): 6.2 states/eV/cell
E: -3.893 eV/atom

abc: 4.547 4.547 6.159
angles: 68.34 68.34 90.00
Atoms (fractional coordinates):
O 0.250 0.750 0.500
O 0.500 0.500 0.000
Ni 0.875 0.686 0.750
Ni 0.436 0.125 0.250
Ni 0.314 0.625 0.250
Ni 0.375 0.564 0.750
Ir 0.000 0.000 0.000
Ir 0.750 0.250 0.500

=====

First-principles (PBE with a Hubbard U) data for a relaxed NiIrO2 crystal, as listed in Alexandria via LeMat-Bulk.

Summary:
DOS(E_F): 3.8 states/eV/cell
E: -5.773 eV/atom

abc: 6.378 6.240 2.869
angles: 90.01 90.00 59.28
Atoms (fractional coordinates):
O 0.873 0.139 0.180
O 0.041 0.625 0.680
O 0.284 0.139 0.180
O 0.629 0.625 0.680
Ir 0.355 0.585 0.680
Ir 0.558 0.179 0.180
Ni 0.818 0.660 0.180
Ni 0.096 0.104 0.680

=====

First-principles (PBE with a Hubbard U) data for a relaxed Ni3IrO crystal, as listed in Alexandria via LeMat-Bulk.

Summary:
DOS(E_F): 2.0 states/eV/cell
E: -3.977 eV/atom

abc: 3.958 3.958 3.958
angles: 90.00 90.00 90.00
Atoms (fractional coordinates):
Ni 0.000 0.500 0.000
Ni 0.500 0.000 0.000
Ni 0.000 0.000 0.500
O 0.000 0.000 0.000
Ir 0.500 0.500 0.500

=====

First-principles (PBE with a Hubbard U) data for a relaxed NiIrO2 crystal, as listed in Alexandria via LeMat-Bulk.

Summary:
DOS(E_F): 4.9 states/eV/cell
E: -5.254 eV/atom

abc: 5.028 5.028 5.243
angles: 61.35 61.35 90.00
Atoms (fractional coordinates):
O 0.132 0.625 0.250
O 0.618 0.125 0.250
O 0.375 0.382 0.750
O 0.875 0.868 0.750
Ni 0.250 0.750 0.500
Ni 0.500 0.500 0.000
Ir 0.000 0.000 0.000
Ir 0.750 0.250 0.500

=====

First-principles (PBE with a Hubbard U) data for a relaxed NiIrO2 crystal, as listed in Alexandria via LeMat-Bulk.

Summary:
DOS(E_F): 2.1 states/eV/cell
E: -4.899 eV/atom

abc: 3.888 3.888 3.888
angles: 60.00 60.00 60.00
Atoms (fractional coordinates):
Ir 0.500 0.500 0.500
Ni 0.000 0.000 0.000
O 0.250 0.250 0.250
O 0.750 0.750 0.750